Entry 1:
# PBE-GGA Zr2VIn, relaxed
# Crystal system: tetragonal
data_Zr2VIn
_symmetry_space_group_name_H-M 'P 4/m m m'
_symmetry_Int_Tables_number 123
_symmetry_space_group_name_Hall '-P 4 2'
_cell_length_a 4.498
_cell_length_b 4.498
_cell_length_c 4.038
_cell_angle_alpha 90.00
_cell_angle_beta 90.00
_cell_angle_gamma 90.00
loop_
_atom_site_label
_atom_site_type_symbol
_atom_site_fract_x
_atom_site_fract_y
_atom_site_fract_z
Zr1 Zr 0.000 0.500 0.000
V1 V 0.000 0.000 0.500
In1 In 0.500 0.500 0.500

Entry 2:
# PBE-GGA Zr2V2In, relaxed
# Crystal system: tetragonal
data_Zr2V2In
_symmetry_space_group_name_H-M 'P 4/m b m'
_symmetry_Int_Tables_number 127
_symmetry_space_group_name_Hall '-P 4 2ab'
_cell_length_a 7.164
_cell_length_b 7.164
_cell_length_c 3.749
_cell_angle_alpha 90.00
_cell_angle_beta 90.00
_cell_angle_gamma 90.00
loop_
_atom_site_label
_atom_site_type_symbol
_atom_site_fract_x
_atom_site_fract_y
_atom_site_fract_z
Zr1 Zr 0.178 0.322 0.000
V1 V 0.114 0.614 0.500
In1 In 0.000 0.000 0.500

Entry 3:
# PBE-GGA InW2, relaxed
# Crystal system: monoclinic
data_InW2
_symmetry_space_group_name_H-M 'C 1 2/m 1'
_symmetry_Int_Tables_number 12
_symmetry_space_group_name_Hall '-C 2y'
_cell_length_a 11.130
_cell_length_b 3.129
_cell_length_c 6.584
_cell_angle_alpha 90.00
_cell_angle_beta 106.86
_cell_angle_gamma 90.00
loop_
_atom_site_label
_atom_site_type_symbol
_atom_site_fract_x
_atom_site_fract_y
_atom_site_fract_z
In1 In 0.145 0.000 0.070
W1 W 0.002 0.500 0.686
W2 W 0.185 0.000 0.593

Entry 4:
# PBE-GGA InW2, relaxed
# Crystal system: tetragonal
data_InW2
_symmetry_space_group_name_H-M 'I 41/a m d'
_symmetry_Int_Tables_number 141
_cell_length_a 2.779
_cell_length_b 2.779
_cell_length_c 28.350
_cell_angle_alpha 90.00
_cell_angle_beta 90.00
_cell_angle_gamma 90.00
loop_
_symmetry_equiv_pos_as_xyz
'x,y,z'
'-x,-y,-z'
'-y+1/4,x+3/4,z+1/4'
'y+1/4,-x+3/4,-z+1/4'
'-x+1/2,-y,z+1/2'
'x+1/2,y,-z+1/2'
'y+1/4,-x+1/4,z+3/4'
'-y+1/4,x+1/4,-z+3/4'
'x,-y,-z'
'-x,y,z'
'-y+1/4,-x+1/4,-z+3/4'
'y+1/4,x+1/4,z+3/4'
'-x+1/2,y,-z+1/2'
'x+1/2,-y,z+1/2'
'y+1/4,x+3/4,-z+1/4'
'-y+1/4,-x+3/4,z+1/4'
'x+1/2,y+1/2,z+1/2'
'-x+1/2,-y+1/2,-z+1/2'
'-y+3/4,x+1/4,z+3/4'
'y+3/4,-x+1/4,-z+3/4'
'-x,-y+1/2,z'
'x,y+1/2,-z'
'y+3/4,-x+3/4,z+1/4'
'-y+3/4,x+3/4,-z+1/4'
'x+1/2,-y+1/2,-z+1/2'
'-x+1/2,y+1/2,z+1/2'
'-y+3/4,-x+3/4,-z+1/4'
'y+3/4,x+3/4,z+1/4'
'-x,y+1/2,-z'
'x,-y+1/2,z'
'y+3/4,x+1/4,-z+3/4'
'-y+3/4,-x+1/4,z+3/4'
loop_
_atom_site_label
_atom_site_type_symbol
_atom_site_fract_x
_atom_site_fract_y
_atom_site_fract_z
In1 In 0.000 0.250 0.375
W1 W 0.000 0.250 0.793

Entry 5:
# PBE-GGA InW2, relaxed
# Crystal system: hexagonal
data_InW2
_symmetry_space_group_name_H-M 'P -6 2 m'
_symmetry_Int_Tables_number 189
_symmetry_space_group_name_Hall 'P -6 -2'
_cell_length_a 8.1081
_cell_length_b 8.1081
_cell_length_c 2.7629
_cell_angle_alpha 90.00
_cell_angle_beta 90.00
_cell_angle_gamma 120.00
loop_
_atom_site_label
_atom_site_type_symbol
_atom_site_fract_x
_atom_site_fract_y
_atom_site_fract_z
In1 In 0.0000 0.0000 0.0000
In2 In 0.3333 0.6667 0.5000
W1 W 0.0000 0.3151 0.5000
W2 W 0.0000 0.6485 0.0000

Entry 6:
# PBE-GGA InW2, relaxed
# Crystal system: orthorhombic
data_InW2
_symmetry_space_group_name_H-M 'I m m a'
_symmetry_Int_Tables_number 74
_symmetry_space_group_name_Hall '-I 2b 2'
_cell_length_a 2.735
_cell_length_b 4.773
_cell_length_c 17.939
_cell_angle_alpha 90.00
_cell_angle_beta 90.00
_cell_angle_gamma 90.00
loop_
_atom_site_label
_atom_site_type_symbol
_atom_site_fract_x
_atom_site_fract_y
_atom_site_fract_z
In1 In 0.000 0.250 0.129
W1 W 0.000 0.250 0.534
W2 W 0.000 0.250 0.682

Let's list E_form in order: -4.6, 1.2, 45.7, 84.5, 58.0, 87.2 kJ/mol of atoms.
Let's list raw total energy in order: -7.2860, -7.6020, -9.0751, -8.6727, -8.9468, -8.6440 eV per atom.